Entry 1:
Below is crystalline KReBr at its relaxed geometry, with properties calculated at the GGA-PBE level.

abc: 2.9931 4.0285 12.1865
angles: 90.00 90.00 90.00
Closest atoms and distances in Å follow each position.
Space group Imm2 (No. 44)
Symmetry-distinct sites (fractional):
K 0.0000 0.0000 0.0000 x2  2 K 2.99, 1 Br 3.34
Re 0.0000 0.0000 0.2853 x2  4 Br 2.61
Br 0.0000 0.0000 0.7258 x2  4 Re 2.61

Computed properties:
**Density of states at the Fermi level**: 0.6472 states/eV/atom
**Spin magnetization**: 0.0 μB/f.u.
**Energy above the lowest structure with this stoichiometry**: 25 meV/atom

Entry 2:
Below is crystalline KRe2Br at its relaxed geometry, with properties calculated at the GGA-PBE level.

abc: 3.4112 6.3598 10.5847
angles: 90.00 90.00 90.00
Closest atoms and distances in Å follow each position.
Space group Imm2 (No. 44)
Symmetry-distinct sites (fractional):
K 0.0000 0.0000 0.0000 x2  2 Br 3.35, 2 K 3.41, 6 Re 3.47-3.61
Re 0.0000 0.0000 0.5172 x2  2 Re 2.31
Re 0.0000 0.5000 0.8695 x2  2 Re 2.31
Br 0.0000 0.5000 0.2271 x2  2 Re 2.80

Computed properties:
**Density of states at the Fermi level**: 0.9793 states/eV/atom
**Spin magnetization**: 0.0 μB/f.u.
**Energy above the lowest structure with this stoichiometry**: 683 meV/atom

Entry 3:
Below is crystalline KRe2Br at its relaxed geometry, with properties calculated at the GGA-PBE level.

abc: 12.8737 3.3519 5.3538
angles: 90.00 112.01 90.00
Closest atoms and distances in Å follow each position.
Space group C2/m (No. 12)
Symmetry-distinct sites (fractional):
K 0.0000 0.0000 0.0000 x2  4 Br 3.16, 2 K 3.35, 2 Re 3.36
Re 0.2164 0.0000 0.5961 x4  2 Re 2.30
Br 0.0000 0.5000 0.5000 x2  4 Re 3.12, 4 K 3.16, 2 Br 3.35

Computed properties:
**Density of states at the Fermi level**: 0.6993 states/eV/atom
**Spin magnetization**: 0.0 μB/f.u.
**Energy above the lowest structure with this stoichiometry**: 569 meV/atom

Entry 4:
Below is crystalline KReBr at its relaxed geometry, with properties calculated at the GGA-PBE level.

abc: 7.8079 7.8079 7.8079
angles: 90.00 90.00 90.00
Closest atoms and distances in Å follow each position.
Space group F-43m (No. 216)
Symmetry-distinct sites (fractional):
K 0.0000 0.0000 0.0000 x4  4 Br 3.38
Re 0.0000 0.0000 0.5000 x4  4 Br 3.38
Br 0.2500 0.2500 0.7500 x4  4 K 3.38, 4 Re 3.38

Computed properties:
**Density of states at the Fermi level**: 1.0787 states/eV/atom
**Spin magnetization**: 5.0 μB/f.u.
**Energy above the lowest structure with this stoichiometry**: 415 meV/atom

no.,formation energy without anion corrections (meV per atom)
1,1061
2,971
3,857
4,1451